VASP calculation (meta-GGA SCAN) on a PBEsol-optimized structure of BiIrCl2.

Fermi-level density of states: 0.79 states/eV per atom
Formation energy without anion corrections: 0.276 eV per atom
M_tot: 0.000 μB per atom
Calculated volume: 81.6 Å³/f.u.
E_tot: -164.532 eV per formula unit

Cell: 3.200 3.200 9.387 Å, 80.19 80.19 60.00°
Atoms (fractional coordinates):
Cl (0.081, 0.081, 0.756)
Cl (0.919, 0.919, 0.244)
Ir (0.000, 0.000, 0.000)
Bi (0.500, 0.500, 0.500)



VASP calculation (meta-GGA SCAN) on a PBEsol-optimized structure of BiPIrCl2.

Fermi-level density of states: 0.38 states/eV per atom
Formation energy without anion corrections: 1.282 eV per atom
M_tot: 0.428 μB per atom
Calculated volume: 143.2 Å³/f.u.
E_tot: -169.625 eV per formula unit

Cell: 5.073 5.073 5.563 Å, 90.00 90.00 90.00°
Last column: magnetic moment on the atom in μB.
Atoms (fractional coordinates):
Cl (0.500, 0.000, 0.000)  0.01
Cl (0.000, 0.500, 0.000)  0.01
Bi (0.000, 0.000, 0.000)  0.00
P (0.000, 0.000, 0.500)  -0.16
Ir (0.500, 0.500, 0.500)  2.15



VASP calculation (meta-GGA SCAN) on a PBEsol-optimized structure of K3BiCl6.

Fermi-level density of states: 0.00 states/eV per atom
Formation energy without anion corrections: -1.643 eV per atom
M_tot: 0.000 μB per atom
Calculated volume: 347.8 Å³/f.u.
E_tot: -167.863 eV per formula unit

Cell: 7.893 7.893 7.893 Å, 60.00 60.00 60.00°
Atoms (fractional coordinates):
Cl (0.760, 0.240, 0.240)
Cl (0.240, 0.760, 0.760)
Cl (0.760, 0.240, 0.760)
Cl (0.240, 0.240, 0.760)
Cl (0.240, 0.760, 0.240)
Cl (0.760, 0.760, 0.240)
K (0.500, 0.500, 0.500)
K (0.250, 0.250, 0.250)
K (0.750, 0.750, 0.750)
Bi (0.000, 0.000, 0.000)



VASP calculation (meta-GGA SCAN) on a PBEsol-optimized structure of K2LiBiCl6.

Fermi-level density of states: 0.00 states/eV per atom
Formation energy without anion corrections: -1.663 eV per atom
M_tot: 0.000 μB per atom
Calculated volume: 276.5 Å³/f.u.
E_tot: -162.120 eV per formula unit

Cell: 7.313 7.313 7.313 Å, 60.00 60.00 60.00°
Atoms (fractional coordinates):
Li (0.500, 0.500, 0.500)
Bi (0.000, 0.000, 0.000)
Cl (0.742, 0.258, 0.258)
Cl (0.258, 0.742, 0.258)
Cl (0.258, 0.742, 0.742)
Cl (0.742, 0.258, 0.742)
Cl (0.742, 0.742, 0.258)
Cl (0.258, 0.258, 0.742)
K (0.750, 0.750, 0.750)
K (0.250, 0.250, 0.250)